Record 1
Material: PrBi3Pb2
Method: DFT, PBE-GGA
State: relaxed

Uncorrected energy: -0.1555 hartree per atom
Calculated formation energy: -0.258 eV/atom
Magnetization: 0.0000 μB per atom
SG: Pmc2_1

Lattice parameters (Å, degrees): 4.380 7.569 12.279 90.00 90.00 90.00
Atoms (fractional coordinates):
Bi1 0.000 0.336 0.368
Bi2 0.500 0.201 0.044
Bi3 0.500 0.701 0.956
Bi4 0.500 0.155 0.702
Bi5 0.500 0.655 0.298
Bi6 0.000 0.836 0.632
Pr1 0.000 0.001 0.890
Pr2 0.000 0.501 0.110
Pb1 0.500 0.522 0.556
Pb2 0.000 0.986 0.198
Pb3 0.500 0.022 0.444
Pb4 0.000 0.486 0.802

Record 2
Material: Pr4Bi3Pb
Method: DFT, PBE-GGA
State: relaxed

Uncorrected energy: -0.1887 hartree per atom
Calculated formation energy: -0.826 eV/atom
Magnetization: 0.0000 μB per atom
SG: Pm-3m

Lattice parameters (Å, degrees): 6.552 6.552 6.552 90.00 90.00 90.00
Atoms (fractional coordinates):
Pr1 0.500 0.000 0.000
Pr2 0.000 0.500 0.000
Pr3 0.500 0.500 0.500
Pr4 0.000 0.000 0.500
Pb1 0.000 0.000 0.000
Bi1 0.500 0.500 0.000
Bi2 0.000 0.500 0.500
Bi3 0.500 0.000 0.500

Record 3
Material: Pr2Bi6Pb
Method: DFT, PBE-GGA
State: relaxed

Uncorrected energy: -0.1622 hartree per atom
Calculated formation energy: -0.352 eV/atom
Magnetization: 0.0000 μB per atom
SG: Amm2

Lattice parameters (Å, degrees): 4.228 9.866 8.848 123.89 90.00 90.00
Atoms (fractional coordinates):
Bi1 0.000 0.706 0.752
Bi2 0.500 0.023 0.560
Bi3 0.500 0.534 0.000
Bi4 0.000 0.954 0.248
Bi5 0.500 0.463 0.440
Bi6 0.000 0.287 0.000
Pb1 0.500 0.022 0.000
Pr1 0.000 0.684 0.357
Pr2 0.000 0.327 0.643

Record 4
Material: Pr8BiPb5
Method: DFT, PBE-GGA
State: relaxed

Uncorrected energy: -0.1824 hartree per atom
Calculated formation energy: -0.631 eV/atom
Magnetization: 0.0000 μB per atom
SG: I-4

Lattice parameters (Å, degrees): 8.472 8.472 8.472 109.41 109.59 109.41
Atoms (fractional coordinates):
Pb1 0.500 0.000 0.500
Pb2 0.750 0.625 0.626
Pb3 0.374 0.124 0.999
Pb4 0.001 0.375 0.125
Pb5 0.875 0.876 0.250
Pr1 0.985 0.108 0.735
Pr2 0.626 0.892 0.876
Pr3 0.124 0.750 0.015
Pr4 0.265 0.250 0.374
Pr5 0.626 0.388 0.876
Pr6 0.124 0.751 0.513
Pr7 0.762 0.249 0.374
Pr8 0.487 0.612 0.238
Bi1 0.250 0.500 0.750

Record 5
Material: Pr2BiPb
Method: DFT, PBE-GGA
State: relaxed

Energy above the lowest structure with this stoichiometry: 0 meV/atom
Uncorrected energy: -0.1856 hartree per atom
Calculated formation energy: -0.764 eV/atom
Magnetization: 0.0000 μB per atom
SG: Cmcm

Lattice parameters (Å, degrees): 4.584 4.708 12.837 100.57 90.00 90.00
Atoms (fractional coordinates):
Bi1 0.750 0.812 0.623
Bi2 0.250 0.188 0.377
Pr1 0.250 0.062 0.125
Pr2 0.750 0.938 0.875
Pr3 0.750 0.684 0.368
Pr4 0.250 0.316 0.632
Pb1 0.750 0.547 0.095
Pb2 0.250 0.453 0.905

Record 6
Material: Pr2Bi3Pb
Method: DFT, PBE-GGA
State: relaxed

Uncorrected energy: -0.1717 hartree per atom
Calculated formation energy: -0.522 eV/atom
Magnetization: 0.0000 μB per atom
SG: C2/c

Lattice parameters (Å, degrees): 6.615 9.185 8.175 106.30 113.87 90.00
Atoms (fractional coordinates):
Bi1 0.827 0.913 0.654
Bi2 0.173 0.087 0.346
Bi3 0.174 0.587 0.346
Bi4 0.492 0.750 0.000
Bi5 0.826 0.413 0.654
Bi6 0.508 0.250 0.000
Pr1 0.337 0.918 0.673
Pr2 0.336 0.418 0.673
Pr3 0.664 0.582 0.327
Pr4 0.663 0.082 0.327
Pb1 0.011 0.250 0.000
Pb2 0.989 0.750 0.000

Record 7
Material: Pr6BiPb
Method: DFT, PBE-GGA
State: relaxed

Uncorrected energy: -0.1811 hartree per atom
Calculated formation energy: -0.394 eV/atom
Magnetization: 0.0000 μB per atom
SG: P4/mmm

Lattice parameters (Å, degrees): 5.042 5.042 10.078 90.00 90.00 90.00
Atoms (fractional coordinates):
Pb1 0.000 0.000 0.500
Pr1 0.000 0.500 0.251
Pr2 0.500 0.000 0.251
Pr3 0.500 0.000 0.749
Pr4 0.500 0.500 0.000
Pr5 0.000 0.500 0.749
Pr6 0.500 0.500 0.500
Bi1 0.000 0.000 0.000

Record 8
Material: Pr3BiPb2
Method: DFT, PBE-GGA
State: relaxed

Uncorrected energy: -0.1792 hartree per atom
Calculated formation energy: -0.602 eV/atom
Magnetization: 0.0000 μB per atom
SG: Immm

Lattice parameters (Å, degrees): 6.536 9.300 7.974 106.98 114.19 90.00
Atoms (fractional coordinates):
Pr1 0.500 0.250 0.000
Pr2 0.500 0.750 0.000
Pr3 0.836 0.418 0.672
Pr4 0.164 0.082 0.328
Pr5 0.836 0.918 0.672
Pr6 0.164 0.582 0.328
Bi1 0.000 0.750 0.000
Bi2 0.000 0.250 0.000
Pb1 0.666 0.583 0.333
Pb2 0.333 0.917 0.667
Pb3 0.334 0.417 0.667
Pb4 0.667 0.083 0.333